{
  "formula": "Sc5GaRu4",
  "functional": "PBE",
  "state": "optimized geometry",
  "cell": [[3.252, 0.000, 0.000], [0.000, 3.252, 0.000], [0.000, 0.000, 16.137]],
  "species": ["Sc", "Sc", "Sc", "Sc", "Sc", "Ga", "Ru", "Ru", "Ru", "Ru"],
  "frac_coords": [[0.000, 0.000, 0.000], [0.000, 0.000, 0.195], [0.000, 0.000, 0.389], [0.000, 0.000, 0.611], [0.000, 0.000, 0.805], [0.500, 0.500, 0.500], [0.500, 0.500, 0.100], [0.500, 0.500, 0.300], [0.500, 0.500, 0.700], [0.500, 0.500, 0.900]],
  "volume_a3_per_cell": 170.7,
  "delta_e_f_mev_per_atom": -605,
  "magnetic_moment_mub_per_fu": 0.0
}